This record from Alexandria describes a geometry-optimized TaMnPt2 structure. The functional is GGA-PBE.

Unit cell a=4.8097 b=4.8097 c=2.8254 alpha=90.00 beta=90.00 gamma=90.00
With the nearest neighbours (Å) after each atom.
Fractional coordinates of all 4 atoms:
1 Pt 0.5000 0.5000 0.0000  4 Ta 2.79, 4 Mn 2.79, 2 Pt 2.83
2 Pt 0.0000 0.0000 0.0000  4 Ta 2.79, 4 Mn 2.79, 2 Pt 2.83
3 Mn 0.0000 0.5000 0.5000  8 Pt 2.79, 2 Mn 2.83
4 Ta 0.5000 0.0000 0.5000  8 Pt 2.79, 2 Ta 2.83

Calculated values
DFT formation energy, kJ per mole of atoms: -37.0
Energy, eV for the cell shown: -34.64
Symmetry: No. 123